# CdIn4Fe

A relaxed CdIn4Fe crystal (GGA-PBE, Alexandria via LeMat-Bulk).

Structure (POSCAR):
```
CdIn4Fe
1.0
0.000 4.240 4.240
4.240 0.000 4.240
4.240 4.240 0.000
Cd In Fe
1 4 1
direct
0.000 0.000 0.000
0.375 0.375 0.375
0.375 0.375 0.874
0.375 0.874 0.375
0.874 0.375 0.375
0.750 0.750 0.750
```

## Properties
D(E_F), states/eV per atom: 1.18
Energy, eV per atom: -2.823
ΔE_f, eV/atom: 0.57

=====

# Tl2CdSb

A relaxed Tl2CdSb crystal (GGA-PBE, Alexandria via LeMat-Bulk).

Structure (POSCAR):
```
Tl2CdSb
1.0
4.374 0.000 0.000
0.000 5.042 0.000
0.000 0.000 10.430
Tl Cd Sb
4 2 2
direct
0.000 0.000 0.000
0.000 0.500 0.284
0.500 0.000 0.284
0.500 0.500 0.000
0.000 0.500 0.765
0.500 0.000 0.765
0.000 0.000 0.539
0.500 0.500 0.539
```

## Properties
Distance to the lowest polymorph of the same formula, meV/atom: 43.7
Formation energy without anion corrections, eV/f.u.: 0.199
D(E_F), states/eV per atom: 0.32
Energy, eV per atom: -2.393

=====

| no. | M_tot (μB per atom) |
| --- | --- |
| 1 | 0.49 |
| 2 | 0.00 |